[1]
# As2POsSe

A relaxed As2POsSe crystal (PBEsol, Alexandria via LeMat-Bulk).

Summary:
E_form (uncorrected)	943	meV/atom
electronic total energy	-5.47	eV/atom

```
As2POsSe
1.0
4.604 0.000 0.000
0.000 4.604 0.000
0.000 0.000 5.130
As Os P Se
2 1 1 1
direct
0.500 0.000 0.000 As
0.000 0.500 0.000 As
0.000 0.000 0.000 Os
0.500 0.500 0.500 P
0.000 0.000 0.500 Se
```



[2]
# TiAsPOs2

A relaxed TiAsPOs2 crystal (PBEsol, Alexandria via LeMat-Bulk).

Summary:
DFT formation energy	0.5562	eV per atom
electronic total energy	-8.17	eV/atom

```
TiAsPOs2
1.0
4.324 0.000 0.000
0.000 4.324 0.000
0.000 0.000 4.495
As Os P Ti
1 2 1 1
direct
0.500 0.500 0.500 As
0.500 0.000 0.000 Os
0.000 0.500 0.000 Os
0.000 0.000 0.000 P
0.000 0.000 0.500 Ti
```



[3]
# As2OsPb

A relaxed As2OsPb crystal (PBEsol, Alexandria via LeMat-Bulk).

Summary:
DFT formation energy	0.2640	eV per atom
electronic total energy	-6.34	eV/atom

```
As2OsPb
1.0
3.708 0.000 0.000
-1.854 3.514 0.005
0.000 -1.969 6.343
Os As Pb
1 2 1
direct
0.000 0.000 0.500 Os
0.271 0.543 0.324 As
0.729 0.457 0.676 As
0.500 0.000 0.000 Pb
```